No. 1
A relaxed Cs2MnI2F2 crystal, computed with PBE+U.

Properties
energy = -28.9 eV for the cell shown
total moment = 0.711 μB/atom
space-group type = I4/mmm (139)

a = 9.6707 Å, b = 9.6707 Å, c = 9.6707 Å
α = 149.99°, β = 149.99°, γ = 42.96°
Atoms (fractional coordinates):
Cs  0.1087  0.1087  0.0000
Cs  0.8913  0.8913  0.0000
Mn  0.5000  0.5000  0.0000
I  0.3420  0.3420  0.0000
I  0.6580  0.6580  0.0000
F  0.0000  0.5000  0.5000
F  0.5000  0.0000  0.5000

***

No. 2
A relaxed CsMnIF2 crystal, computed with PBE+U.

Properties
energy = -48.6 eV for the cell shown
total moment = 0.998 μB/atom
space-group type = P2_1/m (11)

a = 8.4796 Å, b = 4.4499 Å, c = 8.8521 Å
α = 90.00°, β = 103.62°, γ = 90.00°
Atoms (fractional coordinates):
Cs  0.1455  0.2500  0.2354
Cs  0.8545  0.7500  0.7646
Mn  0.3519  0.7500  0.9211
Mn  0.6481  0.2500  0.0789
I  0.2762  0.7500  0.6073
I  0.7238  0.2500  0.3927
F  0.1699  0.7500  0.0281
F  0.3991  0.2500  0.9747
F  0.6009  0.7500  0.0253
F  0.8301  0.2500  0.9719

***

No. 3
A relaxed Cs3MoI2F6 crystal, computed with PBE+U.

Properties
energy = -50.7 eV for the cell shown
total moment = 0.166 μB/atom
space-group type = C2/m (12)

a = 8.5381 Å, b = 8.5381 Å, c = 7.0528 Å
α = 90.34°, β = 90.34°, γ = 48.98°
Atoms (fractional coordinates):
Cs  0.0000  0.0000  0.0000
Cs  0.0000  0.5000  0.5000
Cs  0.5000  0.0000  0.5000
Mo  0.5000  0.5000  0.5000
I  0.2468  0.2468  0.9889
I  0.7532  0.7532  0.0111
F  0.2515  0.6542  0.6674
F  0.3458  0.7485  0.3326
F  0.3826  0.3826  0.3660
F  0.6174  0.6174  0.6340
F  0.6542  0.2515  0.6674
F  0.7485  0.3458  0.3326

***

No. 4
A relaxed Cs2MoI4F2 crystal, computed with PBE+U.

Properties
energy = -31.9 eV for the cell shown
total moment = 0.223 μB/atom
space-group type = C2/m (12)

a = 7.8962 Å, b = 7.8962 Å, c = 7.8230 Å
α = 118.12°, β = 118.12°, γ = 65.15°
Atoms (fractional coordinates):
Cs  0.2415  0.2415  0.3138
Cs  0.7585  0.7585  0.6862
Mo  0.5000  0.5000  0.0000
I  0.2177  0.6924  0.2014
I  0.3076  0.7823  0.7986
I  0.6924  0.2177  0.2014
I  0.7823  0.3076  0.7986
F  0.3284  0.3284  0.7650
F  0.6716  0.6716  0.2350